## w
A relaxed structure of TaCu2Hg2, computed with PBE.

It has space group I4/mmm (No. 139), with a = 3.258 Å, b = 3.258 Å, c = 16.986 Å, α = 90.00°, β = 90.00° and γ = 90.00°. The distinct sites, in fractional coordinates, are Ta at (0.000, 0.000, 0.000), Cu at (0.000, 0.500, 0.250) and Hg at (0.000, 0.000, 0.385).

---

## x
A relaxed structure of TaCu2Hg2, computed with PBE.

It has space group P4/mbm (No. 127), with a = 7.717 Å, b = 7.717 Å, c = 2.902 Å, α = 90.00°, β = 90.00° and γ = 90.00°. The distinct sites, in fractional coordinates, are Ta at (0.000, 0.000, 0.000), Cu at (0.166, 0.334, 0.500) and Hg at (0.136, 0.636, 0.000).

---

x takes first place; second place is 0.014 eV/atom up.

---

## w
A relaxed structure of TaCuHg3, computed with PBE.

It has space group Pm-3m (No. 221), with a = 5.417 Å, b = 5.417 Å, c = 5.417 Å, α = 90.00°, β = 90.00° and γ = 90.00°. The distinct sites, in fractional coordinates, are Ta at (0.000, 0.000, 0.000), Cu at (0.500, 0.500, 0.500) and Hg at (0.000, 0.000, 0.500).

---

## x
A relaxed structure of TaCuHg3, computed with PBE.

It has space group Pm-3m (No. 221), with a = 4.809 Å, b = 4.809 Å, c = 4.809 Å, α = 90.00°, β = 90.00° and γ = 90.00°. The distinct sites, in fractional coordinates, are Ta at (0.000, 0.000, 0.000), Cu at (0.500, 0.500, 0.500) and Hg at (0.000, 0.500, 0.500).

---

x takes first place; second place is 0.165 eV/atom up.

---

## w
A relaxed structure of Ta2CuHg2, computed with PBE.

It has space group P4/mbm (No. 127), with a = 8.176 Å, b = 8.176 Å, c = 3.067 Å, α = 90.00°, β = 90.00° and γ = 90.00°. The distinct sites, in fractional coordinates, are Ta at (0.117, 0.383, 0.000), Cu at (0.000, 0.000, 0.000) and Hg at (0.181, 0.681, 0.500).

---

## x
A relaxed structure of Ta2CuHg2, computed with PBE.

It has space group I4/mmm (No. 139), with a = 3.891 Å, b = 3.891 Å, c = 14.016 Å, α = 90.00°, β = 90.00° and γ = 90.00°. The distinct sites, in fractional coordinates, are Ta at (0.000, 0.000, 0.085), Cu at (0.000, 0.000, 0.500) and Hg at (0.000, 0.500, 0.250).

---

w takes first place; second place is 0.185 eV/atom up.

---

## w
A relaxed structure of CuHg3Te, computed with PBE.

It has space group Pm-3m (No. 221), with a = 5.129 Å, b = 5.129 Å, c = 5.129 Å, α = 90.00°, β = 90.00° and γ = 90.00°. The distinct sites, in fractional coordinates, are Cu at (0.000, 0.000, 0.000), Hg at (0.000, 0.000, 0.500) and Te at (0.500, 0.500, 0.500).

---

## x
A relaxed structure of CuHg3Te, computed with PBE.

It has space group Pm-3m (No. 221), with a = 5.858 Å, b = 5.858 Å, c = 5.858 Å, α = 90.00°, β = 90.00° and γ = 90.00°. The distinct sites, in fractional coordinates, are Cu at (0.000, 0.000, 0.000), Hg at (0.000, 0.500, 0.500) and Te at (0.500, 0.500, 0.500).

---

w takes first place; second place is 0.404 eV/atom up.

---

## w
A relaxed structure of CuHgTe, computed with PBE.

It has space group R3m (No. 160, hexagonal axes), with a = 4.3218 Å, b = 4.3218 Å, c = 30.4379 Å, α = 90.00°, β = 90.00° and γ = 120.00°. The distinct sites, in fractional coordinates, are Cu at (0.0000, 0.0000, 0.0000), Cu at (0.0000, 0.0000, 0.2409), Hg at (0.0000, 0.0000, 0.0888), Hg at (0.0000, 0.0000, 0.4800), Te at (0.0000, 0.0000, 0.3258) and Te at (0.0000, 0.0000, 0.8819).

---

## x
A relaxed structure of CuHgTe, computed with PBE.

It has space group P3m1 (No. 156), with a = 4.2204 Å, b = 4.2204 Å, c = 4.7036 Å, α = 90.00°, β = 90.00° and γ = 120.00°. The distinct sites, in fractional coordinates, are Cu at (0.0000, 0.0000, 0.0000), Hg at (0.6667, 0.3333, 0.3343) and Te at (0.3333, 0.6667, 0.8021).

---

## y
A relaxed structure of CuHgTe, computed with PBE.

It has space group I4mm (No. 107), with a = 3.218 Å, b = 3.218 Å, c = 13.507 Å, α = 90.00°, β = 90.00° and γ = 90.00°. The distinct sites, in fractional coordinates, are Cu at (0.000, 0.000, 0.000), Hg at (0.000, 0.000, 0.639) and Te at (0.000, 0.000, 0.373).

---

## z
A relaxed structure of CuHgTe, computed with PBE.

It has space group Imm2 (No. 44), with a = 3.616 Å, b = 3.842 Å, c = 12.206 Å, α = 90.00°, β = 90.00° and γ = 90.00°. The distinct sites, in fractional coordinates, are Cu at (0.000, 0.000, 0.000), Hg at (0.000, 0.000, 0.787) and Te at (0.000, 0.000, 0.539).

---

w takes first place; second place is 0.067 eV/atom up.

---

## w
A relaxed structure of Cu2HgTe3, computed with PBE.

It has space group Cc (No. 9), with a = 7.467 Å, b = 13.013 Å, c = 7.505 Å, α = 90.00°, β = 109.06° and γ = 90.00°. The distinct sites, in fractional coordinates, are Cu at (0.000, 0.082, 0.000), Cu at (0.008, 0.245, 0.499), Hg at (0.009, 0.414, 0.014), Te at (0.362, 0.100, 0.110), Te at (0.368, 0.268, 0.640) and Te at (0.414, 0.418, 0.140).

---

## x
A relaxed structure of Cu2HgTe3, computed with PBE.

It has space group C2/m (No. 12), with a = 20.784 Å, b = 4.370 Å, c = 7.633 Å, α = 90.00°, β = 105.01° and γ = 90.00°. The distinct sites, in fractional coordinates, are Cu at (0.054, 0.000, 0.451), Cu at (0.225, 0.500, 0.572), Hg at (0.142, 0.500, 0.782), Te at (0.058, 0.000, 0.807), Te at (0.102, 0.500, 0.336) and Te at (0.230, 0.500, 0.235).

---

w takes first place; second place is 0.082 eV/atom up.

---

## w
A relaxed structure of Cu3HgTe, computed with PBE.

It has space group Pm-3m (No. 221), with a = 4.853 Å, b = 4.853 Å, c = 4.853 Å, α = 90.00°, β = 90.00° and γ = 90.00°. The distinct sites, in fractional coordinates, are Cu at (0.000, 0.000, 0.500), Hg at (0.000, 0.000, 0.000) and Te at (0.500, 0.500, 0.500).

---

## x
A relaxed structure of Cu3HgTe, computed with PBE.

It has space group Pm-3m (No. 221), with a = 4.962 Å, b = 4.962 Å, c = 4.962 Å, α = 90.00°, β = 90.00° and γ = 90.00°. The distinct sites, in fractional coordinates, are Cu at (0.000, 0.000, 0.500), Hg at (0.500, 0.500, 0.500) and Te at (0.000, 0.000, 0.000).

---

x takes first place; second place is 0.229 eV/atom up.

---

## w
A relaxed structure of Th2Cu3Hg, computed with PBE.

It has space group Imm2 (No. 44), with a = 3.777 Å, b = 4.244 Å, c = 16.351 Å, α = 90.00°, β = 90.00° and γ = 90.00°. The distinct sites, in fractional coordinates, are Th at (0.000, 0.000, 0.000), Th at (0.000, 0.500, 0.284), Cu at (0.000, 0.000, 0.440), Cu at (0.000, 0.500, 0.700), Cu at (0.000, 0.500, 0.849) and Hg at (0.000, 0.000, 0.606).

---

## x
A relaxed structure of Th2Cu3Hg, computed with PBE.

It has space group Fmmm (No. 69), with a = 6.931 Å, b = 9.238 Å, c = 15.857 Å, α = 90.00°, β = 90.00° and γ = 90.00°. The distinct sites, in fractional coordinates, are Th at (0.242, 0.000, 0.000), Th at (0.250, 0.250, 0.250), Cu at (0.000, 0.000, 0.161), Cu at (0.000, 0.242, 0.081) and Hg at (0.000, 0.000, 0.334).

---

x takes first place; second place is 0.053 eV/atom up.

---

## w
A relaxed structure of TiCu3Hg, computed with PBE.

It has space group Pm-3m (No. 221), with a = 4.721 Å, b = 4.721 Å, c = 4.721 Å, α = 90.00°, β = 90.00° and γ = 90.00°. The distinct sites, in fractional coordinates, are Ti at (0.000, 0.000, 0.000), Cu at (0.000, 0.000, 0.500) and Hg at (0.500, 0.500, 0.500).

---

## x
A relaxed structure of TiCu3Hg, computed with PBE.

It has space group Pm-3m (No. 221), with a = 4.723 Å, b = 4.723 Å, c = 4.723 Å, α = 90.00°, β = 90.00° and γ = 90.00°. The distinct sites, in fractional coordinates, are Ti at (0.000, 0.000, 0.000), Cu at (0.000, 0.500, 0.500) and Hg at (0.500, 0.500, 0.500).

---

w takes first place; second place is 0.013 eV/atom up.

---

## w
A relaxed structure of Tl2CuHg, computed with PBE.

It has space group P4mm (No. 99), with a = 3.290 Å, b = 3.290 Å, c = 9.150 Å, α = 90.00°, β = 90.00° and γ = 90.00°. The distinct sites, in fractional coordinates, are Tl at (0.000, 0.000, 0.000), Tl at (0.500, 0.500, 0.338), Cu at (0.000, 0.000, 0.553) and Hg at (0.500, 0.500, 0.719).

---

## x
A relaxed structure of Tl2CuHg, computed with PBE.

It has space group C2/m (No. 12), with a = 6.862 Å, b = 3.524 Å, c = 8.719 Å, α = 90.00°, β = 97.52° and γ = 90.00°. The distinct sites, in fractional coordinates, are Tl at (0.220, 0.000, 0.206), Cu at (0.000, 0.500, 0.000) and Hg at (0.000, 0.000, 0.500).

---

w takes first place; second place is 0.022 eV/atom up.

---

## w
A relaxed structure of TlCu2Hg2, computed with PBE.

It has space group I4/mmm (No. 139), with a = 3.476 Å, b = 3.476 Å, c = 18.207 Å, α = 90.00°, β = 90.00° and γ = 90.00°. The distinct sites, in fractional coordinates, are Tl at (0.000, 0.000, 0.000), Cu at (0.000, 0.500, 0.250) and Hg at (0.000, 0.000, 0.371).

---

## x
A relaxed structure of TlCu2Hg2, computed with PBE.

It has space group P4/mbm (No. 127), with a = 7.751 Å, b = 7.751 Å, c = 3.310 Å, α = 90.00°, β = 90.00° and γ = 90.00°. The distinct sites, in fractional coordinates, are Tl at (0.000, 0.000, 0.000), Cu at (0.119, 0.381, 0.000) and Hg at (0.173, 0.673, 0.500).

---

w takes first place; second place is 0.037 eV/atom up.

---

## w
A relaxed structure of TlCu2Hg, computed with PBE.

It has space group P4mm (No. 99), with a = 3.210 Å, b = 3.210 Å, c = 7.495 Å, α = 90.00°, β = 90.00° and γ = 90.00°. The distinct sites, in fractional coordinates, are Tl at (0.000, 0.000, 0.000), Cu at (0.000, 0.000, 0.412), Cu at (0.500, 0.500, 0.266) and Hg at (0.500, 0.500, 0.645).

---

## x
A relaxed structure of TlCu2Hg, computed with PBE.

It has space group R-3m (No. 166, hexagonal axes), with a = 3.2775 Å, b = 3.2775 Å, c = 24.7888 Å, α = 90.00°, β = 90.00° and γ = 120.00°. The distinct sites, in fractional coordinates, are Tl at (0.0000, 0.0000, 0.0000), Cu at (0.0000, 0.0000, 0.2483) and Hg at (0.0000, 0.0000, 0.5000).

---

w takes first place; second place is 0.126 eV/atom up.